(1)
Density functional theory data (PBE) for a relaxed structure of CaMgSn2C.

Cell: 5.2081 5.2081 4.1996 Å, 90.00 90.00 90.00°
Closest atoms and distances in Å follow each position.
Space group P4/mmm (No. 123)
Symmetry-distinct sites (fractional):
1 Ca 0.0000 0.0000 0.0000  8 Sn 3.35, 4 Mg 3.68
2 Mg 0.5000 0.5000 0.0000  2 C 2.10
3 Sn 0.0000 0.5000 0.5000  2 C 2.60
4 C 0.5000 0.5000 0.5000  2 Mg 2.10

Values from the calculation:
formation energy from the elements	0.37	eV per atom
calculated total energy	-3.793	eV per atom


(2)
Density functional theory data (PBE) for a relaxed structure of Ca2MgTlC.

Cell: 5.1699 5.1699 4.4009 Å, 90.00 90.00 90.00°
Closest atoms and distances in Å follow each position.
Space group P4/mmm (No. 123)
Symmetry-distinct sites (fractional):
1 Ca 0.0000 0.5000 0.0000  2 C 2.58
2 Mg 0.0000 0.0000 0.5000  2 C 2.20
3 Tl 0.5000 0.5000 0.5000  8 Ca 3.39, 4 Mg 3.66
4 C 0.0000 0.0000 0.0000  2 Mg 2.20

Values from the calculation:
formation energy from the elements	0.01	eV per atom
calculated total energy	-3.424	eV per atom


(3)
Density functional theory data (PBE) for a relaxed structure of CaMg2WC.

Cell: 5.2508 5.2508 5.6924 Å, 90.00 90.00 90.00°
Closest atoms and distances in Å follow each position.
Space group P4/mmm (No. 123)
Symmetry-distinct sites (fractional):
1 Ca 0.0000 0.0000 0.0000  2 W 2.85
2 Mg 0.0000 0.5000 0.5000  2 W 2.63
3 W 0.0000 0.0000 0.5000  4 Mg 2.63, 2 Ca 2.85
4 C 0.5000 0.5000 0.0000  4 Ca 3.71, 8 Mg 3.87

Values from the calculation:
formation energy from the elements	2.41	eV per atom
calculated total energy	-3.068	eV per atom


(4)
Density functional theory data (PBE) for a relaxed structure of Ca2MgZnC.

Cell: 5.1203 5.1203 4.3292 Å, 90.00 90.00 90.00°
Closest atoms and distances in Å follow each position.
Space group P4/mmm (No. 123)
Symmetry-distinct sites (fractional):
1 Ca 0.0000 0.5000 0.0000  2 C 2.56
2 Mg 0.0000 0.0000 0.5000  2 C 2.16
3 Zn 0.5000 0.5000 0.5000  8 Ca 3.35, 4 Mg 3.62
4 C 0.0000 0.0000 0.0000  2 Mg 2.16

Values from the calculation:
formation energy from the elements	0.10	eV per atom
calculated total energy	-3.116	eV per atom


Question: Which value of calculated total energy does entry 4 give?
Answer: -3.116 eV per atom


Question: Among the records above, which one has the lowest formation energy from the elements?
Answer: Ca2MgTlC


Question: What is the formula in the fourth record?
Answer: Ca2MgZnC